## LiZr2Cu (PBE)

Data for a geometry-optimized LiZr2Cu structure.

Geometry as CIF:
```
data_LiZr2Cu
_cell_length_a 3.1136
_cell_length_b 4.8328
_cell_length_c 10.3742
_cell_angle_alpha 90.00
_cell_angle_beta 90.00
_cell_angle_gamma 90.00
_symmetry_space_group_name_H-M 'I m m m'
_symmetry_Int_Tables_number 71
_symmetry_space_group_name_Hall '-I 2 2'
loop_
_atom_site_label
_atom_site_fract_x
_atom_site_fract_y
_atom_site_fract_z
_atom_site_occupancy
Li1 0.0000 0.0000 0.0000 1
Zr1 0.0000 0.5000 0.2191 1
Cu1 0.0000 0.0000 0.5000 1
```

Computed properties:
E_tot = -5.615 eV per atom
energy of formation from the pure elements = 161.6 meV/atom
DOS(E_F) = 3.885 states/eV per cell
ρ = 5.4 Mg/m³
energy relative to the lowest polymorph listed for this composition = 14.28 kJ/mol of atoms

## CoB2Rh2 (PBE)

Data for a geometry-optimized CoB2Rh2 structure.

Geometry as CIF:
```
data_CoB2Rh2
_cell_length_a 6.1360
_cell_length_b 6.1360
_cell_length_c 2.7150
_cell_angle_alpha 90.00
_cell_angle_beta 90.00
_cell_angle_gamma 90.00
_symmetry_space_group_name_H-M 'P 4/m b m'
_symmetry_Int_Tables_number 127
_symmetry_space_group_name_Hall '-P 4 2ab'
loop_
_atom_site_label
_atom_site_fract_x
_atom_site_fract_y
_atom_site_fract_z
_atom_site_occupancy
Co1 0.0000 0.0000 0.0000 1
B1 0.1415 0.3585 0.0000 1
Rh1 0.1582 0.6582 0.5000 1
```

Computed properties:
E_tot = -7.133 eV per atom
energy of formation from the pure elements = -99.8 meV/atom
DOS(E_F) = 8.621 states/eV per cell
ρ = 9.3 Mg/m³
energy relative to the lowest polymorph listed for this composition = 0.00 kJ/mol of atoms

Please write out number 1 again, unchanged.
## LiZr2Cu (PBE)

Data for a geometry-optimized LiZr2Cu structure.

Geometry as CIF:
```
data_LiZr2Cu
_cell_length_a 3.1136
_cell_length_b 4.8328
_cell_length_c 10.3742
_cell_angle_alpha 90.00
_cell_angle_beta 90.00
_cell_angle_gamma 90.00
_symmetry_space_group_name_H-M 'I m m m'
_symmetry_Int_Tables_number 71
_symmetry_space_group_name_Hall '-I 2 2'
loop_
_atom_site_label
_atom_site_fract_x
_atom_site_fract_y
_atom_site_fract_z
_atom_site_occupancy
Li1 0.0000 0.0000 0.0000 1
Zr1 0.0000 0.5000 0.2191 1
Cu1 0.0000 0.0000 0.5000 1
```

Computed properties:
E_tot = -5.615 eV per atom
energy of formation from the pure elements = 161.6 meV/atom
DOS(E_F) = 3.885 states/eV per cell
ρ = 5.4 Mg/m³
energy relative to the lowest polymorph listed for this composition = 14.28 kJ/mol of atoms

> The lowest energy relative to the lowest polymorph listed for this composition belongs to which entry?

CoB2Rh2

Please write out number 1 again, unchanged.
## LiZr2Cu (PBE)

Data for a geometry-optimized LiZr2Cu structure.

Geometry as CIF:
```
data_LiZr2Cu
_cell_length_a 3.1136
_cell_length_b 4.8328
_cell_length_c 10.3742
_cell_angle_alpha 90.00
_cell_angle_beta 90.00
_cell_angle_gamma 90.00
_symmetry_space_group_name_H-M 'I m m m'
_symmetry_Int_Tables_number 71
_symmetry_space_group_name_Hall '-I 2 2'
loop_
_atom_site_label
_atom_site_fract_x
_atom_site_fract_y
_atom_site_fract_z
_atom_site_occupancy
Li1 0.0000 0.0000 0.0000 1
Zr1 0.0000 0.5000 0.2191 1
Cu1 0.0000 0.0000 0.5000 1
```

Computed properties:
E_tot = -5.615 eV per atom
energy of formation from the pure elements = 161.6 meV/atom
DOS(E_F) = 3.885 states/eV per cell
ρ = 5.4 Mg/m³
energy relative to the lowest polymorph listed for this composition = 14.28 kJ/mol of atoms

> Which of these has the highest E_tot?

LiZr2Cu